## Li2MoF5 (PBE+U)

Data for an optimized crystal structure of Li2MoF5.

Unit cell a=3.285 b=5.150 c=11.557 alpha=90.00 beta=90.00 gamma=90.00
Fractional positions:
Li  0.500  0.620  0.333
Li  0.000  0.380  0.167
Li  0.500  0.620  0.667
Li  0.000  0.380  0.833
Mo  0.000  0.177  0.500
Mo  0.500  0.823  0.000
F  0.500  0.962  0.394
F  0.000  0.546  0.000
F  0.000  0.038  0.106
F  0.500  0.454  0.500
F  0.000  0.038  0.894
F  0.500  0.962  0.606
F  0.500  0.580  0.163
F  0.500  0.580  0.837
F  0.000  0.420  0.337
F  0.000  0.420  0.663

Summary:
N(E_F), states/eV per atom: 0.0000
VASP energy, Ha/atom: -0.186